1.
K3Sn3Pb2: relaxed, PBE-GGA.

- Calculated density: 5.2 Mg/m³
- Energy of formation from the pure elements: -97 meV/atom

Lattice parameters (Å, degrees): 5.9255 12.1663 15.7905 90.00 90.00 90.00
Closest atoms and distances in Å follow each position.
Space group Cmcm (No. 63)
One atom of each set of equivalent atoms:
K  0.0000  0.0058  0.2500  7 Sn 3.70-3.80, 2 Pb 3.82, 2 K 3.90
K  0.0000  0.1462  0.5322  3 Pb 3.47-3.62, 1 K 3.70, 2 Sn 3.86
Sn  0.0000  0.2984  0.7500  2 Sn 3.07
Sn  0.0000  0.4650  0.6042  1 Pb 3.04, 1 Sn 3.07
Pb  0.0000  0.2946  0.1555  1 Pb 2.99, 1 Sn 3.04

---

2.
Zr2TiCuN: relaxed, PBE-GGA.

- Calculated density: 6.3 Mg/m³
- Formation energy (no corrections): -0.737 eV/atom

Lattice parameters (Å, degrees): 4.4682 4.4682 4.0478 90.00 90.00 90.00
Closest atoms and distances in Å follow each position.
Space group P4/mmm (No. 123)
One atom of each set of equivalent atoms:
Zr  0.0000  0.5000  0.0000  2 N 2.23
Ti  0.0000  0.0000  0.5000  2 N 2.02
Cu  0.5000  0.5000  0.5000  8 Zr 3.01, 4 Ti 3.16
N  0.0000  0.0000  0.0000  2 Ti 2.02, 4 Zr 2.23

---

3.
Sc2Co2H7: relaxed, PBE-GGA.

- DFT total energy: -4.87 eV per atom
- Calculated density: 4.5 Mg/m³

Lattice parameters (Å, degrees): 5.9995 6.4406 4.1493 90.00 90.00 90.00
Closest atoms and distances in Å follow each position.
Space group Cmmm (No. 65)
One atom of each set of equivalent atoms:
Sc  0.2397  0.0000  0.0000  6 H 1.97-2.02
Co  0.0000  0.2675  0.5000  7 H 1.72-1.73
H  0.0000  0.0000  0.5000  2 Co 1.72
H  0.0000  0.5000  0.2892  2 Co 1.73, 1 H 1.75
H  0.2500  0.2500  0.2933  1 H 1.72, 2 Co 1.73

---

4.
Sc4Tl3Os: relaxed, PBE-GGA.

- Calculated density: 9.5 Mg/m³
- Energy of formation from the pure elements: -338 meV/atom

Lattice parameters (Å, degrees): 3.3670 3.3670 15.1780 90.00 90.00 90.00
Closest atoms and distances in Å follow each position.
Space group P4/mmm (No. 123)
One atom of each set of equivalent atoms:
Sc  0.0000  0.0000  0.0990  4 Os 2.82, 1 Sc 3.01, 4 Tl 3.15
Sc  0.0000  0.0000  0.3658  8 Tl 3.10-3.13, 4 Sc 3.37
Tl  0.5000  0.5000  0.2350  8 Sc 3.10-3.15, 4 Tl 3.37
Tl  0.5000  0.5000  0.5000  8 Sc 3.13, 4 Tl 3.37
Os  0.5000  0.5000  0.0000  8 Sc 2.82

---

5.
DyIn2Si2Pt7: relaxed, PBE-GGA.

- Calculated density: 13.5 Mg/m³
- Formation energy (no corrections): -0.710 eV/atom

Lattice parameters (Å, degrees): 5.6473 5.6628 14.1331 90.00 98.09 90.00
Closest atoms and distances in Å follow each position.
Space group C2/m (No. 12)
One atom of each set of equivalent atoms:
Dy  0.0000  0.0000  0.0000  12 Pt 2.82-2.98
In  0.1060  0.0000  0.3954  5 Pt 2.81-2.87
Si  0.0877  0.5000  0.2528  5 Pt 2.31-2.40
Pt  0.0000  0.5000  0.0000  4 Dy 2.82-2.83, 8 Pt 2.98
Pt  0.1193  0.5000  0.4179  1 Si 2.31
Pt  0.1952  0.2498  0.8423  2 Si 2.40

---

6.
SrLiHf2: relaxed, PBE-GGA.

- Distance to the lowest polymorph of the same formula: 0.170 eV/atom
- Calculated density: 7.5 Mg/m³
- Energy of formation from the pure elements: 921 meV/atom

Lattice parameters (Å, degrees): 7.3712 7.3712 7.3712 90.00 90.00 90.00
Closest atoms and distances in Å follow each position.
Space group Fm-3m (No. 225)
One atom of each set of equivalent atoms:
Sr  0.0000  0.0000  0.0000  8 Hf 3.19
Li  0.0000  0.0000  0.5000  8 Hf 3.19
Hf  0.2500  0.2500  0.2500  4 Li 3.19, 4 Sr 3.19

---

7.
LiErHf: relaxed, PBE-GGA.

- Distance to the lowest polymorph of the same formula: 0.000 eV/atom
- Calculated density: 8.2 Mg/m³
- Energy of formation from the pure elements: 183 meV/atom

Lattice parameters (Å, degrees): 3.2940 3.2940 13.1150 90.00 90.00 90.00
Closest atoms and distances in Å follow each position.
Space group I4mm (No. 107)
One atom of each set of equivalent atoms:
Li  0.0000  0.0000  0.0000  4 Hf 3.10, 4 Li 3.29, 4 Er 3.31
Er  0.0000  0.0000  0.6798  4 Hf 3.17, 4 Er 3.29, 4 Li 3.31
Hf  0.0000  0.0000  0.3436  4 Li 3.10, 4 Er 3.17, 4 Hf 3.29

---

8.
ThAl3Rh2: relaxed, PBE-GGA.

- Calculated density: 7.9 Mg/m³
- Energy of formation from the pure elements: -856 meV/atom

Lattice parameters (Å, degrees): 16.5206 4.1866 9.9368 90.00 108.10 90.00
Closest atoms and distances in Å follow each position.
Space group C2/m (No. 12)
One atom of each set of equivalent atoms:
Th  0.0000  0.0000  0.0000  6 Rh 2.99-3.12, 4 Al 3.25
Th  0.1614  0.0000  0.7058  6 Rh 3.17-3.33, 11 Al 3.25-3.50
Al  0.0000  0.5000  0.5000  4 Rh 2.43-2.72
Al  0.0441  0.0000  0.3580  4 Rh 2.58-2.60, 3 Al 2.70-2.75
Al  0.1307  0.5000  0.2095  4 Rh 2.43-2.60
Al  0.1791  0.5000  0.9678  4 Rh 2.58-2.63, 1 Al 2.76
Al  0.2135  0.0000  0.3960  4 Rh 2.45-2.61, 1 Al 2.70
Rh  0.0252  0.5000  0.7834  5 Al 2.58-2.72
Rh  0.1368  0.5000  0.4565  7 Al 2.43-2.61
Rh  0.1895  0.0000  0.1245  6 Al 2.56-2.61